Record 1
An optimized crystal structure of PmZnTc. Source: OQMD, functional PBE. Values from VASP.

```
&SYSTEM
  ibrav = 0, nat = 3, ntyp = 3
/
ATOMIC_SPECIES
Pm 145.00 Pm.upf
Tc 98.00 Tc.upf
Zn 65.41 Zn.upf
CELL_PARAMETERS angstrom
0.000 3.342 3.342
3.342 0.000 3.342
3.342 3.342 0.000
ATOMIC_POSITIONS angstrom
Pm 0.000 0.000 0.000
Tc 1.671 1.671 1.671
Zn 5.013 5.013 5.013
```

Calculated values
Energy relative to the lowest polymorph listed for this composition = 0.6157 eV per atom
Total energy = -0.3220 Ry per atom
SG = No. 216
Energy relative to the elements = 1076 meV per atom


Record 2
An optimized crystal structure of PmTe. Source: OQMD, functional PBE. Values from VASP.

```
&SYSTEM
  ibrav = 0, nat = 2, ntyp = 2
/
ATOMIC_SPECIES
Pm 145.00 Pm.upf
Te 127.60 Te.upf
CELL_PARAMETERS angstrom
4.000 -1.265 2.654
0.434 -4.609 1.792
3.371 -3.101 -1.915
ATOMIC_POSITIONS angstrom
Pm 0.000 0.000 0.000
Te 1.951 -2.244 0.633
```

Calculated values
Energy relative to the lowest polymorph listed for this composition = 0.4836 eV per atom
Total energy = -0.3579 Ry per atom
SG = No. 216